An optimized crystal structure of Sc3SnC, computed with GGA-PBE.

Calculated formation energy in kcal/mol of atoms: -18.22
Calculated volume in Å³/atom: 18.66
N(E_F) in states/eV/f.u.: 2.96
Uncorrected energy in eV/atom: -7.2343

Cell: 4.5355 4.5355 4.5355 Å, 90.00 90.00 90.00°
With the nearest neighbours (Å) after each atom.
Space group Pm-3m (No. 221)
One atom of each set of equivalent atoms:
1 Sc 0.0000 0.0000 0.5000 (multiplicity 3)  2 C 2.27
2 Sn 0.5000 0.5000 0.5000 (multiplicity 1)  12 Sc 3.21
3 C 0.0000 0.0000 0.0000 (multiplicity 1)  6 Sc 2.27